No. 1
# ZnCo2Hg, optimized geometry, DFT PBE
# Total DFT energy (no corrections) (eV/cell): -29.156
# Calculated density (g/cm3): 11.05
# Crystal system: monoclinic
# Magnetic moment (μB per formula unit): 2.90
data_ZnCo2Hg
_chemical_formula_sum 'Zn2 Co4 Hg2'
_symmetry_space_group_name_H-M 'C 1 m 1'
_symmetry_Int_Tables_number 8
_symmetry_space_group_name_Hall 'C -2y'
_cell_length_a 8.738
_cell_length_b 2.831
_cell_length_c 4.765
_cell_angle_alpha 90.00
_cell_angle_beta 101.89
_cell_angle_gamma 90.00
loop_
_atom_site_label
_atom_site_fract_x
_atom_site_fract_y
_atom_site_fract_z
Zn1 0.000 0.000 0.000
Co1 0.026 0.500 0.576
Co2 0.252 0.000 0.767
Hg1 0.267 0.500 0.287

No. 2
# CeCuGe, optimized geometry, DFT PBE
# Total DFT energy (no corrections) (eV/cell): -16.355
# Calculated density (g/cm3): 7.40
# Crystal system: hexagonal
# Magnetic moment (μB per formula unit): 0.98
data_CeCuGe
_chemical_formula_sum 'Ce1 Cu1 Ge1'
_symmetry_space_group_name_H-M 'P -6 m 2'
_symmetry_Int_Tables_number 187
_symmetry_space_group_name_Hall 'P -6 2'
_cell_length_a 4.2024
_cell_length_b 4.2024
_cell_length_c 4.0559
_cell_angle_alpha 90.00
_cell_angle_beta 90.00
_cell_angle_gamma 120.00
loop_
_atom_site_label
_atom_site_fract_x
_atom_site_fract_y
_atom_site_fract_z
Ce1 0.0000 0.0000 0.0000
Cu1 0.3333 0.6667 0.5000
Ge1 0.6667 0.3333 0.5000